{
  "formula": "ZrHg2Mo",
  "functional": "GGA-PBE",
  "state": "relaxed",
  "cell": [[-1.8506, -1.6900, -4.1579], [-2.7317, -4.0133, 0.0129], [-4.7723, 0.3093, -0.8359]],
  "species": ["Hg", "Hg", "Mo", "Zr"],
  "frac_coords": [[0.0000, 0.0000, 0.0000], [0.2500, 0.2500, 0.2500], [0.5000, 0.5000, 0.5000], [0.7500, 0.7500, 0.7500]],
  "space_group": "F-43m (216)",
  "e_form_mev_per_atom": 504,
  "relative_energy_kcal_per_mol_atoms": 7.71,
  "n_ef_per_ev_fu": 5.57
}

***

{
  "formula": "ZrHgMo",
  "functional": "GGA-PBE",
  "state": "relaxed",
  "cell": [[7.2398, 0.0063, 0.0000], [6.0743, 3.9393, 0.0000], [-6.6570, -1.9728, 2.0510]],
  "species": ["Hg", "Mo", "Zr"],
  "frac_coords": [[0.9952, 0.9952, 0.0000], [0.3344, 0.3344, 0.0000], [0.6704, 0.6704, 0.0000]],
  "space_group": "I4mm (107)",
  "e_form_mev_per_atom": 250,
  "relative_energy_kcal_per_mol_atoms": 1.04,
  "n_ef_per_ev_fu": 2.33
}

***

{
  "formula": "ZrHg2Mo",
  "functional": "GGA-PBE",
  "state": "relaxed",
  "cell": [[5.3092, -0.0251, -0.0162], [-3.2926, 5.7852, 0.0344], [0.0076, 1.5548, 2.5612]],
  "species": ["Hg", "Hg", "Mo", "Zr"],
  "frac_coords": [[0.0000, 0.0000, 0.0000], [0.0000, 0.5000, 0.5000], [0.5000, 0.5000, 0.0000], [0.5000, 0.0000, 0.5000]],
  "space_group": "C2/m (12)",
  "e_form_mev_per_atom": 230,
  "relative_energy_kcal_per_mol_atoms": 1.38,
  "n_ef_per_ev_fu": 2.46
}

***

{
  "formula": "Zr2HgMo",
  "functional": "GGA-PBE",
  "state": "relaxed",
  "cell": [[-0.2628, 4.5432, 1.2044], [-4.4119, -0.6553, 1.5054], [1.2468, -0.8038, 3.3040]],
  "species": ["Hg", "Mo", "Zr", "Zr"],
  "frac_coords": [[0.5000, 0.0000, 0.5000], [0.0000, 0.5000, 0.5000], [0.0000, 0.0000, 0.0000], [0.5000, 0.5000, 0.0000]],
  "space_group": "P4/mmm (123)",
  "e_form_mev_per_atom": -45,
  "n_ef_per_ev_fu": 3.01
}

***

{
  "formula": "ZrHg2Mo",
  "functional": "GGA-PBE",
  "state": "relaxed",
  "cell": [[3.0741, 0.0000, 0.0000], [0.0000, 4.2245, 0.0000], [0.0000, 0.0000, 6.2087]],
  "species": ["Hg", "Hg", "Mo", "Zr"],
  "frac_coords": [[0.0000, 0.0000, 0.0005], [0.5000, 0.5000, 0.2608], [0.0000, 0.0000, 0.5051], [0.5000, 0.5000, 0.7336]],
  "space_group": "Pmm2 (25)",
  "e_form_mev_per_atom": 278,
  "relative_energy_kcal_per_mol_atoms": 2.48,
  "n_ef_per_ev_fu": 2.60
}

***

{
  "formula": "ZrHgMo",
  "functional": "GGA-PBE",
  "state": "relaxed",
  "cell": [[5.3616, -0.0266, 0.0000], [3.0634, 4.4003, 0.0000], [-4.2125, -2.1869, 2.4939]],
  "species": ["Hg", "Mo", "Zr"],
  "frac_coords": [[0.9940, 0.9940, 0.0000], [0.3277, 0.3277, 0.0000], [0.6783, 0.6783, 0.0000]],
  "space_group": "I4mm (107)",
  "e_form_mev_per_atom": 215,
  "relative_energy_kcal_per_mol_atoms": 0.24,
  "n_ef_per_ev_fu": 4.12
}

***

{
  "formula": "Zr2HgMo",
  "functional": "GGA-PBE",
  "state": "relaxed",
  "cell": [[-0.6300, 8.2049, 3.8460], [-2.3348, 6.3693, 6.0406], [0.9861, 6.5348, 6.2316]],
  "species": ["Hg", "Mo", "Zr", "Zr"],
  "frac_coords": [[0.7500, 0.7500, 0.7500], [0.2500, 0.2500, 0.2500], [0.9920, 0.9920, 0.9920], [0.5080, 0.5080, 0.5080]],
  "space_group": "R-3m (166)",
  "e_form_mev_per_atom": 34,
  "n_ef_per_ev_fu": 3.81
}

***

{
  "formula": "ZrHg2Mo",
  "functional": "GGA-PBE",
  "state": "relaxed",
  "cell": [[-2.1132, 3.8670, -3.5877], [-5.6584, 0.0654, -0.5184], [4.3945, 0.6040, 3.5515]],
  "species": ["Hg", "Hg", "Mo", "Zr"],
  "frac_coords": [[0.0020, 0.0020, 0.0000], [0.2601, 0.7601, 0.5000], [0.5077, 0.5077, 0.0000], [0.7301, 0.2301, 0.5000]],
  "space_group": "Imm2 (44)",
  "e_form_mev_per_atom": 262,
  "relative_energy_kcal_per_mol_atoms": 2.12,
  "n_ef_per_ev_fu": 2.37
}